Arrangement w

A plane-wave DFT calculation with PBE+U was carried out for a geometry-optimized VBPO2 structure.

Summary:
M_tot   0.17 μB per cell

a = 3.572 Å, b = 3.572 Å, c = 5.184 Å
α = 90.00°, β = 90.00°, γ = 90.00°
Space group P4/mmm (No. 123)
Inequivalent atoms, fractional coordinates:
V: 0.000 0.000 0.000
B: 0.500 0.500 0.500
P: 0.000 0.000 0.500
O: 0.000 0.500 0.000


Arrangement x

A plane-wave DFT calculation with PBE+U was carried out for a geometry-optimized VBPO2 structure.

Summary:
M_tot   1.27 μB per cell

a = 3.214 Å, b = 3.214 Å, c = 6.670 Å
α = 90.00°, β = 90.00°, γ = 90.00°
Space group P4/mmm (No. 123)
Inequivalent atoms, fractional coordinates:
V: 0.000 0.000 0.000
B: 0.500 0.500 0.000
P: 0.000 0.000 0.500
O: 0.000 0.500 0.500


Arrangement y

A plane-wave DFT calculation with PBE+U was carried out for a geometry-optimized VBPO2 structure.

Summary:
M_tot   1.03 μB per cell

a = 3.449 Å, b = 3.449 Å, c = 4.269 Å
α = 90.00°, β = 90.00°, γ = 90.00°
Space group P4/mmm (No. 123)
Inequivalent atoms, fractional coordinates:
V: 0.000 0.000 0.000
B: 0.500 0.500 0.500
P: 0.500 0.500 0.000
O: 0.000 0.500 0.500


What is the stability order? It is arrangement w, arrangement y, arrangement x, from most stable to least stable.


Arrangement w

A plane-wave DFT calculation with PBE+U was carried out for a geometry-optimized BPWO2 structure.

Summary:
M_tot   0.61 μB per cell

a = 3.790 Å, b = 3.790 Å, c = 5.213 Å
α = 90.00°, β = 90.00°, γ = 90.00°
Space group P4/mmm (No. 123)
Inequivalent atoms, fractional coordinates:
B: 0.000 0.000 0.000
P: 0.500 0.500 0.000
W: 0.500 0.500 0.500
O: 0.000 0.500 0.500


Arrangement x

A plane-wave DFT calculation with PBE+U was carried out for a geometry-optimized BPWO2 structure.

Summary:
M_tot   1.60 μB per cell

a = 3.610 Å, b = 3.610 Å, c = 4.093 Å
α = 90.00°, β = 90.00°, γ = 90.00°
Space group P4/mmm (No. 123)
Inequivalent atoms, fractional coordinates:
B: 0.000 0.000 0.000
P: 0.000 0.000 0.500
W: 0.500 0.500 0.500
O: 0.000 0.500 0.000


What is the stability order? It is arrangement w, arrangement x, from most stable to least stable.